Density functional theory data (PBE with a Hubbard U) for an optimized crystal structure of PuFePtO6.

Structure (extended XYZ):
```
18
Lattice="-4.087 -2.639 -1.829 4.657 -2.290 0.281 -1.855 -2.772 8.144" Properties=species:S:1:pos:R:3 pbc="T T T"
Pu -1.636 -3.215 0.911
Pu 0.351 -4.485 5.686
Fe 1.279 -3.099 1.614
Fe -2.564 -4.601 4.983
Pt 0.000 0.000 0.000
Pt -0.928 -1.386 4.072
O 0.224 -3.618 0.014
O 1.300 -1.185 1.087
O -2.487 -2.685 4.469
O -2.585 -6.515 5.510
O -0.425 -2.691 2.548
O 2.366 -2.626 3.206
O -4.289 -4.241 5.896
O 1.202 -5.015 2.128
O -3.651 -5.074 3.390
O 3.004 -3.460 0.701
O -0.860 -5.010 4.048
O -1.509 -4.083 6.583
```

Computed properties:
Magnetization: 8.0 μB/cell
Density of states at the Fermi level: 6.59 states/eV/f.u.
SG: P-31c
Calculated density: 9.53 g/cm³
Electronic total energy: -7.5528 eV/atom